(1)
DFT (PBE) results for a relaxed structure of Co2NiMo.

CIF file:
```
data_Co2NiMo
_symmetry_space_group_name_H-M 'P 1 2/m 1'
_symmetry_Int_Tables_number 10
_cell_length_a 2.5270
_cell_length_b 4.2209
_cell_length_c 4.6130
_cell_angle_alpha 90.00
_cell_angle_beta 95.66
_cell_angle_gamma 90.00
loop_
_symmetry_equiv_pos_as_xyz
'x,y,z'
'-x,-y,-z'
'-x,y,-z'
'x,-y,z'
loop_
_atom_site_label
_atom_site_fract_x
_atom_site_fract_y
_atom_site_fract_z
Co1 0.2135 0.0000 0.2639
Ni1 0.0000 0.5000 0.5000
Mo1 0.5000 0.5000 0.0000
```

E_tot (eV per atom): -7.540
Crystal system: monoclinic
ΔH_f (0 K) (meV/atom): 166
Energy above the lowest structure with this stoichiometry (meV per atom): 178.9

(2)
DFT (PBE) results for a relaxed structure of TmBe17Nb.

CIF file:
```
data_TmBe17Nb
_symmetry_space_group_name_H-M 'R 3 m'
_symmetry_Int_Tables_number 160
_symmetry_space_group_name_Hall 'R 3 -2"'
_cell_length_a 7.5050
_cell_length_b 7.5050
_cell_length_c 10.9636
_cell_angle_alpha 90.00
_cell_angle_beta 90.00
_cell_angle_gamma 120.00
loop_
_atom_site_label
_atom_site_fract_x
_atom_site_fract_y
_atom_site_fract_z
Tm1 0.0000 0.0000 0.0000
Be1 0.0000 0.0000 0.2454
Be2 0.0000 0.0000 0.4377
Be3 0.0026 0.2883 0.3383
Be4 0.0026 0.5013 0.1801
Be5 0.0053 0.5026 0.4952
Be6 0.1682 0.3364 0.1736
Nb1 0.0000 0.0000 0.6741
```

E_tot (eV per atom): -4.278
Crystal system: trigonal
ΔH_f (0 K) (meV/atom): -179

(3)
DFT (PBE) results for a relaxed structure of Mn2CrHIr.

CIF file:
```
data_Mn2CrHIr
_symmetry_space_group_name_H-M 'P 4/m m m'
_symmetry_Int_Tables_number 123
_symmetry_space_group_name_Hall '-P 4 2'
_cell_length_a 3.9254
_cell_length_b 3.9254
_cell_length_c 3.6738
_cell_angle_alpha 90.00
_cell_angle_beta 90.00
_cell_angle_gamma 90.00
loop_
_atom_site_label
_atom_site_fract_x
_atom_site_fract_y
_atom_site_fract_z
Mn1 0.0000 0.5000 0.0000
Cr1 0.0000 0.0000 0.5000
H1 0.5000 0.5000 0.0000
Ir1 0.5000 0.5000 0.5000
```

E_tot (eV per atom): -8.106
Crystal system: tetragonal
Energy above the lowest structure with this stoichiometry (meV per atom): 61.1

(4)
DFT (PBE) results for a relaxed structure of Y2MnGe3Pt4.

CIF file:
```
data_Y2MnGe3Pt4
_symmetry_space_group_name_H-M 'P -4 m 2'
_symmetry_Int_Tables_number 115
_cell_length_a 4.1598
_cell_length_b 4.1598
_cell_length_c 10.7745
_cell_angle_alpha 90.00
_cell_angle_beta 90.00
_cell_angle_gamma 90.00
loop_
_symmetry_equiv_pos_as_xyz
'x,y,z'
'y,-x,-z'
'-x,-y,z'
'-y,x,-z'
'-x,y,z'
'-y,-x,-z'
'x,-y,z'
'y,x,-z'
loop_
_atom_site_label
_atom_site_fract_x
_atom_site_fract_y
_atom_site_fract_z
Y1 0.0000 0.5000 0.2473
Mn1 0.0000 0.0000 0.5000
Ge1 0.0000 0.5000 0.8638
Ge2 0.5000 0.5000 0.5000
Pt1 0.0000 0.0000 0.0000
Pt2 0.0000 0.5000 0.6397
Pt3 0.5000 0.5000 0.0000
```

E_tot (eV per atom): -6.840
Crystal system: tetragonal
ΔH_f (0 K) (meV/atom): -829

(5)
DFT (PBE) results for a relaxed structure of BaTa2As.

CIF file:
```
data_BaTa2As
_symmetry_space_group_name_H-M 'P 1 2/m 1'
_symmetry_Int_Tables_number 10
_cell_length_a 4.2160
_cell_length_b 4.5573
_cell_length_c 5.9230
_cell_angle_alpha 90.00
_cell_angle_beta 104.17
_cell_angle_gamma 90.00
loop_
_symmetry_equiv_pos_as_xyz
'x,y,z'
'-x,-y,-z'
'-x,y,-z'
'x,-y,z'
loop_
_atom_site_label
_atom_site_fract_x
_atom_site_fract_y
_atom_site_fract_z
Ba1 0.0000 0.0000 0.0000
Ta1 0.3180 0.5000 0.6422
As1 0.5000 0.0000 0.5000
```

E_tot (eV per atom): -7.038
Crystal system: monoclinic
ΔH_f (0 K) (meV/atom): 532

(6)
DFT (PBE) results for a relaxed structure of PmAgAsH.

CIF file:
```
data_PmAgAsH
_symmetry_space_group_name_H-M 'P 4/n m m'
_symmetry_Int_Tables_number 129
_cell_length_a 4.0952
_cell_length_b 4.0952
_cell_length_c 8.2611
_cell_angle_alpha 90.00
_cell_angle_beta 90.00
_cell_angle_gamma 90.00
loop_
_symmetry_equiv_pos_as_xyz
'x,y,z'
'-x,-y,-z'
'-y+1/2,x,z'
'y+1/2,-x,-z'
'-x+1/2,-y+1/2,z'
'x+1/2,y+1/2,-z'
'y,-x+1/2,z'
'-y,x+1/2,-z'
'x+1/2,-y,-z'
'-x+1/2,y,z'
'-y,-x,-z'
'y,x,z'
'-x,y+1/2,-z'
'x,-y+1/2,z'
'y+1/2,x+1/2,-z'
'-y+1/2,-x+1/2,z'
loop_
_atom_site_label
_atom_site_fract_x
_atom_site_fract_y
_atom_site_fract_z
Pm1 0.2500 0.2500 0.1562
Ag1 0.2500 0.7500 0.5000
As1 0.2500 0.2500 0.7269
H1 0.2500 0.7500 0.0000
```

E_tot (eV per atom): -4.601
Crystal system: tetragonal
Energy above the lowest structure with this stoichiometry (meV per atom): 0.0

(7)
DFT (PBE) results for a relaxed structure of AlAs3.

CIF file:
```
data_AlAs3
_symmetry_space_group_name_H-M 'I 4/m m m'
_symmetry_Int_Tables_number 139
_symmetry_space_group_name_Hall '-I 4 2'
_cell_length_a 3.8818
_cell_length_b 3.8818
_cell_length_c 21.1178
_cell_angle_alpha 90.00
_cell_angle_beta 90.00
_cell_angle_gamma 90.00
loop_
_atom_site_label
_atom_site_fract_x
_atom_site_fract_y
_atom_site_fract_z
Al1 0.0000 0.0000 0.1518
As1 0.0000 0.0000 0.3994
As2 0.0000 0.5000 0.0000
As3 0.0000 0.5000 0.2500
```

E_tot (eV per atom): -4.187
Crystal system: tetragonal
ΔH_f (0 K) (meV/atom): 235
Energy above the lowest structure with this stoichiometry (meV per atom): 335.6

(8)
DFT (PBE) results for a relaxed structure of Be2TlHgF8.

CIF file:
```
data_Be2TlHgF8
_symmetry_space_group_name_H-M 'C 1 2/m 1'
_symmetry_Int_Tables_number 12
_cell_length_a 8.0863
_cell_length_b 5.5453
_cell_length_c 7.8477
_cell_angle_alpha 90.00
_cell_angle_beta 91.40
_cell_angle_gamma 90.00
loop_
_symmetry_equiv_pos_as_xyz
'x,y,z'
'-x,-y,-z'
'-x,y,-z'
'x,-y,z'
'x+1/2,y+1/2,z'
'-x+1/2,-y+1/2,-z'
'-x+1/2,y+1/2,-z'
'x+1/2,-y+1/2,z'
loop_
_atom_site_label
_atom_site_fract_x
_atom_site_fract_y
_atom_site_fract_z
Be1 0.1276 0.0000 0.2509
Tl1 0.0000 0.5000 0.0000
Hg1 0.0000 0.5000 0.5000
F1 0.0163 0.2353 0.2544
F2 0.2165 0.0000 0.0777
F3 0.2331 0.0000 0.4191
```

E_tot (eV per atom): -4.470
Energy relative to the elements, uncorrected (eV per atom): -2.38
Crystal system: monoclinic

- Among the records above, which one has the lowest E_tot?
  Mn2CrHIr

- The highest E_tot belongs to which entry?
  AlAs3

- Among the records above, which one has the highest E_tot?
  AlAs3

Repeat the sixth record exactly.
DFT (PBE) results for a relaxed structure of PmAgAsH.

CIF file:
```
data_PmAgAsH
_symmetry_space_group_name_H-M 'P 4/n m m'
_symmetry_Int_Tables_number 129
_cell_length_a 4.0952
_cell_length_b 4.0952
_cell_length_c 8.2611
_cell_angle_alpha 90.00
_cell_angle_beta 90.00
_cell_angle_gamma 90.00
loop_
_symmetry_equiv_pos_as_xyz
'x,y,z'
'-x,-y,-z'
'-y+1/2,x,z'
'y+1/2,-x,-z'
'-x+1/2,-y+1/2,z'
'x+1/2,y+1/2,-z'
'y,-x+1/2,z'
'-y,x+1/2,-z'
'x+1/2,-y,-z'
'-x+1/2,y,z'
'-y,-x,-z'
'y,x,z'
'-x,y+1/2,-z'
'x,-y+1/2,z'
'y+1/2,x+1/2,-z'
'-y+1/2,-x+1/2,z'
loop_
_atom_site_label
_atom_site_fract_x
_atom_site_fract_y
_atom_site_fract_z
Pm1 0.2500 0.2500 0.1562
Ag1 0.2500 0.7500 0.5000
As1 0.2500 0.2500 0.7269
H1 0.2500 0.7500 0.0000
```

E_tot (eV per atom): -4.601
Crystal system: tetragonal
Energy above the lowest structure with this stoichiometry (meV per atom): 0.0